1.
Entry from Alexandria: a geometry-optimized NbCrAg2W structure (PBE-GGA).

Output
Crystal system   tetragonal

Structure (CIF):
```
data_NbCrAg2W
_chemical_formula_sum 'Nb1 Cr1 Ag2 W1'
_cell_length_a 5.0394
_cell_length_b 5.0394
_cell_length_c 4.2933
_cell_angle_alpha 90.00
_cell_angle_beta 90.00
_cell_angle_gamma 90.00
_symmetry_space_group_name_H-M 'P 4/m m m'
_symmetry_Int_Tables_number 123
_symmetry_space_group_name_Hall '-P 4 2'
loop_
_atom_site_label
_atom_site_type_symbol
_atom_site_fract_x
_atom_site_fract_y
_atom_site_fract_z
Nb1 Nb 0.0000 0.0000 0.0000
Cr1 Cr 0.0000 0.0000 0.5000
Ag1 Ag 0.0000 0.5000 0.0000
W1 W 0.5000 0.5000 0.5000
```

2.
Entry from Alexandria: a geometry-optimized NbCrAgW2 structure (PBE-GGA).

Output
Crystal system   tetragonal

Structure (CIF):
```
data_NbCrAgW2
_chemical_formula_sum 'Nb1 Cr1 Ag1 W2'
_cell_length_a 4.6999
_cell_length_b 4.6999
_cell_length_c 5.0048
_cell_angle_alpha 90.00
_cell_angle_beta 90.00
_cell_angle_gamma 90.00
_symmetry_space_group_name_H-M 'P 4/m m m'
_symmetry_Int_Tables_number 123
_symmetry_space_group_name_Hall '-P 4 2'
loop_
_atom_site_label
_atom_site_type_symbol
_atom_site_fract_x
_atom_site_fract_y
_atom_site_fract_z
Nb1 Nb 0.0000 0.0000 0.0000
Cr1 Cr 0.5000 0.5000 0.5000
Ag1 Ag 0.0000 0.0000 0.5000
W1 W 0.0000 0.5000 0.0000
```

3.
Entry from Alexandria: a geometry-optimized ZrNb2CrAg structure (PBE-GGA).

Output
Crystal system   tetragonal

Structure (CIF):
```
data_ZrNb2CrAg
_chemical_formula_sum 'Zr1 Nb2 Cr1 Ag1'
_cell_length_a 4.5245
_cell_length_b 4.5245
_cell_length_c 4.9490
_cell_angle_alpha 90.00
_cell_angle_beta 90.00
_cell_angle_gamma 90.00
_symmetry_space_group_name_H-M 'P 4/m m m'
_symmetry_Int_Tables_number 123
_symmetry_space_group_name_Hall '-P 4 2'
loop_
_atom_site_label
_atom_site_type_symbol
_atom_site_fract_x
_atom_site_fract_y
_atom_site_fract_z
Zr1 Zr 0.0000 0.0000 0.0000
Nb1 Nb 0.0000 0.5000 0.5000
Cr1 Cr 0.5000 0.5000 0.5000
Ag1 Ag 0.5000 0.5000 0.0000
```

| no. | V (Å³ per cell) | D(E_F) (states/eV/atom) | calculated total energy (Ry/atom) |
| --- | --- | --- | --- |
| 1 | 109.0 | 1.33 | -0.3999 |
| 2 | 110.6 | 1.32 | -0.5279 |
| 3 | 101.3 | 1.06 | -0.5487 |